Entry 1:
First-principles (GGA-PBE) data for a relaxed Ba2InHPt crystal, as listed in the Alexandria database.

Lattice parameters (Å, degrees): 5.9715 5.9715 3.7967 90.00 90.00 90.00
Closest atoms and distances in Å follow each position.
Space group P4/mmm (No. 123)
Unique sites:
Ba 0.0000 0.5000 0.0000 x2  2 H 2.99
In 0.0000 0.0000 0.5000 x1  8 Ba 3.54, 2 In 3.80
H 0.5000 0.5000 0.0000 x1  2 Pt 1.90
Pt 0.5000 0.5000 0.5000 x1  2 H 1.90

Crystal system: tetragonal
Calculated total energy, eV for the cell shown: -18.23


Entry 2:
First-principles (GGA-PBE) data for a relaxed CeDyErPu crystal, as listed in the Alexandria database.

Lattice parameters (Å, degrees): 7.8547 7.8547 7.8547 90.00 90.00 90.00
Closest atoms and distances in Å follow each position.
Space group F-43m (No. 216)
Unique sites:
Ce 0.0000 0.0000 0.0000 x4  4 Dy 3.40, 4 Er 3.40
Dy 0.2500 0.2500 0.2500 x4  4 Pu 3.40, 4 Ce 3.40
Er 0.2500 0.2500 0.7500 x4  4 Ce 3.40, 4 Pu 3.40
Pu 0.0000 0.0000 0.5000 x4  4 Er 3.40, 4 Dy 3.40

Crystal system: cubic
DFT formation energy, kJ per mole of atoms: 25.3


Entry 3:
First-principles (GGA-PBE) data for a relaxed CsNb2Zn crystal, as listed in the Alexandria database.

Lattice parameters (Å, degrees): 4.5547 4.5547 21.3144 90.00 90.00 90.00
Closest atoms and distances in Å follow each position.
Space group I-42d (No. 122)
Unique sites:
Cs 0.0000 0.0000 0.0000 x4  4 Zn 3.22, 4 Nb 3.40
Nb 0.1110 0.2500 0.6250 x8  2 Nb 2.49
Zn 0.0000 0.0000 0.5000 x4  4 Nb 2.94, 4 Cs 3.22

Crystal system: tetragonal
DFT formation energy, kJ per mole of atoms: 129.3


Entry 4:
First-principles (GGA-PBE) data for a relaxed Ca3CeS4 crystal, as listed in the Alexandria database.

Lattice parameters (Å, degrees): 5.7210 5.7210 5.7210 90.00 90.00 90.00
Closest atoms and distances in Å follow each position.
Space group Pm-3m (No. 221)
Unique sites:
Ca 0.0000 0.0000 0.5000 x3  6 S 2.86
Ce 0.5000 0.5000 0.5000 x1  6 S 2.86
S 0.0000 0.0000 0.0000 x1  6 Ca 2.86
S 0.0000 0.5000 0.5000 x3  2 Ce 2.86, 4 Ca 2.86

Uncorrected formation energy, eV per atom: -2.060
Crystal system: cubic


Entry 5:
First-principles (GGA-PBE) data for a relaxed Dy12Er5Th2 crystal, as listed in the Alexandria database.

Lattice parameters (Å, degrees): 6.1421 9.3488 11.1921 89.96 79.43 70.87
Closest atoms and distances in Å follow each position.
Space group P-1 (No. 2)
Unique sites:
Dy 0.0534 0.1317 0.3940 x2  7 Dy 3.51-3.56, 4 Er 3.53-3.55, 1 Th 3.56
Dy 0.1058 0.7629 0.2901 x2  4 Er 3.53-3.55, 7 Dy 3.53-3.56, 1 Th 3.55
Dy 0.1575 0.3927 0.1851 x2  7 Dy 3.51-3.58, 4 Er 3.53-3.57, 1 Th 3.54
Dy 0.3179 0.2868 0.8700 x2  2 Th 3.50-3.51, 6 Dy 3.50-3.58, 4 Er 3.53-3.58
Dy 0.3665 0.9221 0.7659 x2  3 Th 3.48-3.55, 3 Er 3.50-3.57, 6 Dy 3.50-3.56
Dy 0.4211 0.5520 0.6564 x2  7 Dy 3.50-3.57, 5 Er 3.52-3.57
Er 0.0000 0.5000 0.5000 x1  10 Dy 3.53-3.54, 2 Er 3.53
Er 0.2600 0.6615 0.9741 x2  2 Th 3.49-3.51, 9 Dy 3.50-3.58, 1 Er 3.60
Er 0.4738 0.1851 0.5521 x2  10 Dy 3.52-3.57, 2 Er 3.53-3.55
Th 0.2112 0.0249 0.0768 x2  8 Dy 3.48-3.56, 2 Er 3.49-3.51, 2 Th 3.51-3.53

Crystal system: triclinic
DFT formation energy, kJ per mole of atoms: 2.3


Entry 6:
First-principles (GGA-PBE) data for a relaxed RbScC crystal, as listed in the Alexandria database.

Lattice parameters (Å, degrees): 3.3658 6.3097 9.5001 90.20 97.57 105.36
Closest atoms and distances in Å follow each position.
Space group P1 (No. 1)
Unique sites:
Rb 0.0000 0.0000 0.0000 x1  3 C 3.02-3.35, 2 Rb 3.37
Rb 0.4711 0.4868 0.6099 x1  1 C 3.01, 2 Rb 3.37
Sc 0.6526 0.0452 0.3426 x1  3 C 2.16-2.22
Sc 0.8601 0.5321 0.2497 x1  4 C 2.19-2.38
C 0.2579 0.2780 0.3146 x1  4 Sc 2.22-2.38
C 0.4527 0.7512 0.2065 x1  3 Sc 2.16-2.20

Crystal system: triclinic
DFT formation energy, kJ per mole of atoms: 42.9


Entry 7:
First-principles (GGA-PBE) data for a relaxed Be4TeP crystal, as listed in the Alexandria database.

Lattice parameters (Å, degrees): 6.7580 6.7580 6.7580 90.00 90.00 90.00
Closest atoms and distances in Å follow each position.
Space group F-43m (No. 216)
Unique sites:
Be 0.1229 0.1229 0.3771 x16  6 Be 2.35-2.43
Te 0.0000 0.0000 0.0000 x4  12 Be 2.81, 4 P 2.93
P 0.2500 0.2500 0.7500 x4  12 Be 2.80, 4 Te 2.93

Uncorrected formation energy, eV per atom: 0.668
Crystal system: cubic


Entry 8:
First-principles (GGA-PBE) data for a relaxed SrCa2Eu crystal, as listed in the Alexandria database.

Lattice parameters (Å, degrees): 4.3797 4.3797 9.3828 90.00 90.00 90.00
Closest atoms and distances in Å follow each position.
Space group P4/mmm (No. 123)
Unique sites:
Sr 0.0000 0.0000 0.0000 x1  8 Ca 3.97, 4 Sr 4.38
Ca 0.5000 0.5000 0.2641 x2  4 Eu 3.81, 4 Sr 3.97
Eu 0.0000 0.0000 0.5000 x1  8 Ca 3.81

Crystal system: tetragonal
DFT formation energy, kJ per mole of atoms: 2.5


Entry 9:
First-principles (GGA-PBE) data for a relaxed AcPmLuAl crystal, as listed in the Alexandria database.

Lattice parameters (Å, degrees): 7.8073 7.8073 7.8073 90.00 90.00 90.00
Closest atoms and distances in Å follow each position.
Space group F-43m (No. 216)
Unique sites:
Ac 0.0000 0.0000 0.0000 x4  4 Pm 3.38, 4 Lu 3.38
Pm 0.2500 0.2500 0.2500 x4  4 Ac 3.38, 4 Al 3.38
Lu 0.2500 0.2500 0.7500 x4  4 Ac 3.38, 4 Al 3.38
Al 0.0000 0.0000 0.5000 x4  4 Lu 3.38, 4 Pm 3.38

Crystal system: cubic
DFT formation energy, kJ per mole of atoms: 8.8


Entry 10:
First-principles (GGA-PBE) data for a relaxed MgTlGeSe3 crystal, as listed in the Alexandria database.

Lattice parameters (Å, degrees): 8.2312 4.5330 9.4758 90.00 110.34 90.00
Closest atoms and distances in Å follow each position.
Space group P2_1/m (No. 11)
Unique sites:
Mg 0.1608 0.2500 0.1104 x2  3 Se 2.60-2.85
Tl 0.2477 0.7500 0.7500 x2  5 Se 3.23-3.49
Ge 0.3734 0.7500 0.3699 x2  4 Se 2.40-2.66
Se 0.0067 0.2500 0.8199 x2  3 Mg 2.60-2.85
Se 0.2985 0.2500 0.4464 x2  3 Ge 2.52-2.66
Se 0.4093 0.7500 0.1297 x2  1 Ge 2.40

Uncorrected formation energy, eV per atom: -0.528
Crystal system: monoclinic


Entry 11:
First-principles (GGA-PBE) data for a relaxed Rb2TmCu2O4 crystal, as listed in the Alexandria database.

Lattice parameters (Å, degrees): 13.4402 3.4252 6.6637 90.00 107.37 90.00
Closest atoms and distances in Å follow each position.
Space group C2/m (No. 12)
Unique sites:
Rb 0.1288 0.0000 0.0527 x4  7 O 2.89-3.19, 1 Cu 3.16
Tm 0.0000 0.0000 0.5000 x2  6 O 2.27-2.36
Cu 0.1825 0.5000 0.5288 x4  3 O 1.93-2.14
O 0.0307 0.5000 0.3036 x4  1 Cu 2.14, 2 Tm 2.27
O 0.1815 0.0000 0.6622 x4  2 Cu 1.93

Uncorrected formation energy, eV per atom: -1.526
Crystal system: monoclinic


Entry 12:
First-principles (GGA-PBE) data for a relaxed TeOs2Pb crystal, as listed in the Alexandria database.

Lattice parameters (Å, degrees): 3.2286 3.2286 25.2804 90.00 90.00 120.00
Closest atoms and distances in Å follow each position.
Space group R-3m (No. 166, hexagonal axes)
Unique sites:
Te 0.0000 0.0000 0.0000 x3  6 Os 2.70
Os 0.0000 0.0000 0.2562 x6  3 Te 2.70, 3 Pb 2.93
Pb 0.0000 0.0000 0.5000 x3  6 Os 2.93, 6 Pb 3.23

Uncorrected formation energy, eV per atom: 0.955
Crystal system: trigonal


Entry 13:
First-principles (GGA-PBE) data for a relaxed CeTmAlOs crystal, as listed in the Alexandria database.

Lattice parameters (Å, degrees): 6.9971 6.9971 6.9971 90.00 90.00 90.00
Closest atoms and distances in Å follow each position.
Space group F-43m (No. 216)
Unique sites:
Ce 0.0000 0.0000 0.0000 x4  4 Os 3.03, 4 Al 3.03
Tm 0.0000 0.0000 0.5000 x4  4 Al 3.03, 4 Os 3.03
Al 0.2500 0.2500 0.7500 x4  4 Ce 3.03, 4 Tm 3.03
Os 0.2500 0.2500 0.2500 x4  4 Ce 3.03, 4 Tm 3.03

Crystal system: cubic
DFT formation energy, kJ per mole of atoms: -22.4


Entry 14:
First-principles (GGA-PBE) data for a relaxed Co2ReH2 crystal, as listed in the Alexandria database.

Lattice parameters (Å, degrees): 2.6640 2.6640 11.5388 90.00 90.00 90.00
Closest atoms and distances in Å follow each position.
Space group I4/mmm (No. 139)
Unique sites:
Co 0.0000 0.0000 0.1544 x4  4 H 1.73
Re 0.0000 0.0000 0.5000 x2  8 Co 2.59, 4 Re 2.66
H 0.0000 0.5000 0.2500 x4  4 Co 1.73, 4 H 1.88

Crystal system: tetragonal
Calculated total energy, eV for the cell shown: -66.22


Entry 15:
First-principles (GGA-PBE) data for a relaxed NaCdGe2Os crystal, as listed in the Alexandria database.

Lattice parameters (Å, degrees): 4.7905 4.7905 5.3411 90.00 90.00 90.00
Closest atoms and distances in Å follow each position.
Space group P4/mmm (No. 123)
Unique sites:
Na 0.0000 0.0000 0.0000 x1  4 Cd 3.39, 8 Ge 3.59
Cd 0.5000 0.5000 0.0000 x1  2 Os 2.67
Ge 0.0000 0.5000 0.5000 x2  2 Os 2.40
Os 0.5000 0.5000 0.5000 x1  4 Ge 2.40, 2 Cd 2.67

Crystal system: tetragonal
DFT formation energy, kJ per mole of atoms: 11.9


Entry 16:
First-principles (GGA-PBE) data for a relaxed BaSr3Au3 crystal, as listed in the Alexandria database.

Lattice parameters (Å, degrees): 12.9977 12.8827 6.3931 90.00 90.00 90.00
Closest atoms and distances in Å follow each position.
Space group Cmcm (No. 63)
Unique sites:
Ba 0.0000 0.1270 0.2500 x4  3 Au 3.20-3.28
Sr 0.0000 0.3809 0.7500 x4  5 Au 3.14-3.22
Sr 0.2433 0.3707 0.2500 x8  5 Au 3.16-3.23
Au 0.0000 0.3756 0.2500 x4  5 Sr 3.14-3.20, 1 Ba 3.20
Au 0.2480 0.3800 0.7500 x8  5 Sr 3.20-3.23, 1 Ba 3.28

Crystal system: orthorhombic
DFT formation energy, kJ per mole of atoms: -60.2


Entry 17:
First-principles (GGA-PBE) data for a relaxed TcMo4Ru crystal, as listed in the Alexandria database.

Lattice parameters (Å, degrees): 7.2568 7.2568 7.2568 90.00 90.00 90.00
Closest atoms and distances in Å follow each position.
Space group F-43m (No. 216)
Unique sites:
Tc 0.0000 0.0000 0.0000 x4  12 Mo 3.01, 4 Ru 3.14
Mo 0.1254 0.1254 0.3746 x16  6 Mo 2.56-2.57
Ru 0.2500 0.2500 0.7500 x4  12 Mo 3.01, 4 Tc 3.14

Crystal system: cubic
DFT formation energy, kJ per mole of atoms: 32.9


Entry 18:
First-principles (GGA-PBE) data for a relaxed HfGaTc2B crystal, as listed in the Alexandria database.

Lattice parameters (Å, degrees): 4.3031 4.3031 3.9193 90.00 90.00 90.00
Closest atoms and distances in Å follow each position.
Space group P4/mmm (No. 123)
Unique sites:
Hf 0.0000 0.0000 0.0000 x1  8 Tc 2.91, 4 Ga 3.04
Ga 0.5000 0.5000 0.0000 x1  2 B 1.96
Tc 0.0000 0.5000 0.5000 x2  2 B 2.15
B 0.5000 0.5000 0.5000 x1  2 Ga 1.96, 4 Tc 2.15

Crystal system: tetragonal
DFT formation energy, kJ per mole of atoms: -7.0


Entry 19:
First-principles (GGA-PBE) data for a relaxed PmDy2HoTm2 crystal, as listed in the Alexandria database.

Lattice parameters (Å, degrees): 6.4817 17.7047 3.3856 90.00 90.00 90.00
Closest atoms and distances in Å follow each position.
Space group Pnnm (No. 58)
Unique sites:
Pm 0.0000 0.0000 0.0000 x2  2 Tm 3.18, 2 Pm 3.39
Dy 0.2231 0.1869 0.0000 x4  4 Tm 3.30-3.38, 2 Dy 3.39, 1 Pm 3.61
Ho 0.0000 0.5000 0.0000 x2  2 Ho 3.39, 4 Tm 3.43, 4 Pm 3.66
Tm 0.2209 0.3525 0.5000 x4  1 Pm 3.18, 4 Dy 3.30-3.38, 2 Tm 3.39, 2 Ho 3.43

Crystal system: orthorhombic
DFT formation energy, kJ per mole of atoms: 27.1


Entry 20:
First-principles (GGA-PBE) data for a relaxed Cu2NiOs crystal, as listed in the Alexandria database.

Lattice parameters (Å, degrees): 4.3688 4.3688 2.6291 90.00 90.00 90.00
Closest atoms and distances in Å follow each position.
Space group P4/mmm (No. 123)
Unique sites:
Cu 0.0000 0.5000 0.0000 x2  4 Os 2.55, 4 Ni 2.55, 2 Cu 2.63
Ni 0.0000 0.0000 0.5000 x1  8 Cu 2.55, 2 Ni 2.63
Os 0.5000 0.5000 0.5000 x1  8 Cu 2.55, 2 Os 2.63

Crystal system: tetragonal
DFT formation energy, kJ per mole of atoms: 37.4